No. 1
## RbZnAsSe2 (GGA-PBE)

Data for RbZnAsSe2 after structural relaxation.

Formation energy (no corrections) in eV per atom: -0.049
Energy above the most stable polymorph in this dataset in meV per atom: 0
Symmetry: No. 123

a = 5.2675 Å, b = 5.2675 Å, c = 4.8540 Å
α = 90.00°, β = 90.00°, γ = 90.00°
Closest atoms and distances in Å follow each position.
Atoms (fractional coordinates):
Rb 0.0000 0.0000 0.0000  8 Se 3.58, 4 As 3.72
Zn 0.5000 0.5000 0.5000  2 As 2.43, 4 Se 2.63
As 0.5000 0.5000 0.0000  2 Zn 2.43
Se 0.0000 0.5000 0.5000  2 Zn 2.63
Se 0.5000 0.0000 0.5000  2 Zn 2.63

=====

No. 2
## Nd2Zn2Pd15 (GGA-PBE)

Data for Nd2Zn2Pd15 after structural relaxation.

E_tot in eV per cell: -97.3
Symmetry: No. 166

a = 6.9841 Å, b = 6.9841 Å, c = 6.9841 Å
α = 81.56°, β = 81.56°, γ = 81.56°
Closest atoms and distances in Å follow each position.
Atoms (fractional coordinates):
Nd 0.1572 0.1572 0.1572  15 Pd 3.19-3.52, 1 Zn 3.42
Nd 0.8428 0.8428 0.8428  15 Pd 3.19-3.52, 1 Zn 3.42
Zn 0.4054 0.4054 0.4054  1 Zn 2.60, 6 Pd 2.81-2.89
Zn 0.5946 0.5946 0.5946  1 Zn 2.60, 6 Pd 2.81-2.89
Pd 0.0000 0.5000 0.5000  8 Pd 2.64-2.69, 2 Zn 2.81
Pd 0.1533 0.1533 0.6542  8 Pd 2.64-2.84, 1 Zn 2.89
Pd 0.1533 0.6542 0.1533  8 Pd 2.64-2.84, 1 Zn 2.89
Pd 0.1974 0.5000 0.8026  8 Pd 2.69-2.84
Pd 0.1974 0.8026 0.5000  8 Pd 2.69-2.84
Pd 0.3458 0.8467 0.8467  8 Pd 2.64-2.84, 1 Zn 2.89
Pd 0.5000 0.0000 0.5000  8 Pd 2.64-2.69, 2 Zn 2.81
Pd 0.5000 0.1974 0.8026  8 Pd 2.69-2.84
Pd 0.5000 0.5000 0.0000  8 Pd 2.64-2.69, 2 Zn 2.81
Pd 0.5000 0.8026 0.1974  8 Pd 2.69-2.84
Pd 0.6542 0.1533 0.1533  8 Pd 2.64-2.84, 1 Zn 2.89
Pd 0.8026 0.1974 0.5000  8 Pd 2.69-2.84
Pd 0.8026 0.5000 0.1974  8 Pd 2.69-2.84
Pd 0.8467 0.3458 0.8467  8 Pd 2.64-2.84, 1 Zn 2.89
Pd 0.8467 0.8467 0.3458  8 Pd 2.64-2.84, 1 Zn 2.89